An optimized crystal structure of Y2CdRu. Source: Alexandria, functional GGA-PBE.

Cell lengths 6.435, 6.435, 6.435 Å; angles 149.21, 135.13, 55.41 degrees
Atoms (fractional coordinates):
Y 0.000 0.000 0.000
Y 0.703 0.203 0.500
Cd 0.401 0.401 0.000
Ru 0.202 0.702 0.500

Results
- ΔE_f (eV/f.u.) = -0.740
- crystal system = orthorhombic